Crystalline Nd7HoEr3 at its relaxed geometry. Source: Alexandria, functional PBE.

POSCAR file:
```
Nd7HoEr3
1.0
3.542 -9.567 0.000
3.542 9.567 0.000
-0.008 0.000 11.197
Nd Ho Er
14 2 6
Cartesian
3.538 7.840 0.501 Nd
3.543 7.840 5.098 Nd
3.536 6.499 8.398 Nd
3.540 3.828 2.799 Nd
3.536 3.096 8.398 Nd
3.533 1.629 5.406 Nd
3.547 1.629 0.193 Nd
3.529 -1.629 11.004 Nd
3.543 -1.629 5.791 Nd
3.540 -3.096 2.799 Nd
3.536 -3.828 8.398 Nd
3.540 -6.499 2.799 Nd
3.534 -7.840 6.099 Nd
3.539 -7.840 10.696 Nd
1.771 4.783 0.000 Ho
1.767 -4.783 5.598 Ho
1.767 4.783 5.598 Er
1.820 0.186 2.795 Er
1.816 -0.186 8.394 Er
1.771 -4.783 0.000 Er
5.260 0.186 2.803 Er
5.256 -0.186 8.402 Er
```

Polymorph energy (0 for the lowest one) = 0 meV per atom
V = 34.492 Å³/atom
ΔH_f (0 K) = 0.12 eV per atom
N(E_F) = 34.3 states/eV/cell
Crystal system = monoclinic
Spin magnetization = 0.00 μB/cell